# 1
{"formula": "PmPrSm2H", "functional": "PBE", "state": "optimized geometry", "cell": [[5.140, 0.000, 0.000], [0.000, 5.140, 0.000], [0.000, 0.000, 5.143]], "species": ["Pm", "Pr", "Sm", "Sm", "H"], "fractional_positions": [[0.000, 0.000, 0.000], [0.500, 0.500, 0.000], [0.000, 0.500, 0.500], [0.500, 0.000, 0.500], [0.000, 0.000, 0.500]], "spacegroup": "P4/mmm", "e_tot_ha_per_atom": -0.171}

---

# 2
{"formula": "PmPr2SmH", "functional": "PBE", "state": "optimized geometry", "cell": [[5.193, 0.000, 0.000], [0.000, 5.193, 0.000], [0.000, 0.000, 5.158]], "species": ["Pm", "Pr", "Pr", "Sm", "H"], "fractional_positions": [[0.000, 0.000, 0.000], [0.000, 0.500, 0.500], [0.500, 0.000, 0.500], [0.500, 0.500, 0.000], [0.500, 0.500, 0.500]], "spacegroup": "P4/mmm", "e_tot_ha_per_atom": -0.171}